The following is a PBE calculation of crystalline Pu2HfZr3N6 at its relaxed geometry, from Alexandria via LeMat-Bulk.

Summary:
**Calculated total energy**: -11.109 eV/atom
**Theoretical density**: 10.95 Mg/m³
**Magnetization**: 9.059 μB/f.u.
**E_form (uncorrected)**: -19.1 eV per formula unit

```
data_Pu2HfZr3N6
_chemical_formula_sum 'Pu4 Hf2 Zr6 N12'
_cell_length_a 5.753
_cell_length_b 9.967
_cell_length_c 5.745
_cell_angle_alpha 90.00
_cell_angle_beta 109.46
_cell_angle_gamma 90.00
_space_group_name_H-M_alt 'C 1 2/m 1'
_space_group_IT_number 12
_space_group_name_Hall '-C 2y'
loop_
_atom_site_label
_atom_site_fract_x
_atom_site_fract_y
_atom_site_fract_z
Pu1 0.000 0.166 0.000
Hf1 0.000 0.500 0.000
Zr1 0.000 0.000 0.500
Zr2 0.000 0.334 0.500
N1 0.237 0.500 0.743
N2 0.246 0.338 0.253
```